[1]
VASP calculation (SCAN) on Re2Au3 at its PBEsol-relaxed geometry.

Computed properties:
formation energy from the elements = 41 kJ/mol of atoms
magnetization = 0.000 μB per cell
volume = 15.7 Å³ per atom

Structure (CIF):
```
data_Re2Au3
_cell_length_a 2.7888
_cell_length_b 2.7888
_cell_length_c 34.9943
_cell_angle_alpha 90.00
_cell_angle_beta 90.00
_cell_angle_gamma 120.00
_symmetry_space_group_name_H-M 'R -3 m'
_symmetry_Int_Tables_number 166
_symmetry_space_group_name_Hall '-R 3 2"'
loop_
_atom_site_label
_atom_site_type_symbol
_atom_site_fract_x
_atom_site_fract_y
_atom_site_fract_z
Re1 Re 0.0000 0.0000 0.1003
Au1 Au 0.0000 0.0000 0.2983
Au2 Au 0.0000 0.0000 0.5000
```

[2]
VASP calculation (SCAN) on CdHgAsBr2 at its PBEsol-relaxed geometry.

Computed properties:
uncorrected formation energy = 1.579 eV per formula unit
magnetization = 1.255 μB per cell
volume = 30.8 Å³ per atom

Structure (CIF):
```
data_CdHgAsBr2
_cell_length_a 5.406
_cell_length_b 5.406
_cell_length_c 5.266
_cell_angle_alpha 90.00
_cell_angle_beta 90.00
_cell_angle_gamma 90.00
_symmetry_space_group_name_H-M 'P 4/m m m'
_symmetry_Int_Tables_number 123
_symmetry_space_group_name_Hall '-P 4 2'
loop_
_atom_site_label
_atom_site_type_symbol
_atom_site_fract_x
_atom_site_fract_y
_atom_site_fract_z
Cd1 Cd 0.000 0.000 0.000
Hg1 Hg 0.500 0.500 0.500
As1 As 0.500 0.500 0.000
Br1 Br 0.000 0.500 0.500
```

[3]
VASP calculation (SCAN) on Ba2InHg at its PBEsol-relaxed geometry.

Computed properties:
formation energy from the elements = -58 kJ/mol of atoms
magnetization = 0.000 μB per cell
volume = 35.6 Å³ per atom

Structure (CIF):
```
data_Ba2InHg
_cell_length_a 4.081
_cell_length_b 5.904
_cell_length_c 5.905
_cell_angle_alpha 90.00
_cell_angle_beta 90.00
_cell_angle_gamma 90.00
_symmetry_space_group_name_H-M 'P m m 2'
_symmetry_Int_Tables_number 25
_symmetry_space_group_name_Hall 'P 2 -2'
loop_
_atom_site_label
_atom_site_type_symbol
_atom_site_fract_x
_atom_site_fract_y
_atom_site_fract_z
Ba1 Ba 0.000 0.000 0.000
Ba2 Ba 0.000 0.500 0.493
In1 In 0.500 0.000 0.502
Hg1 Hg 0.500 0.500 0.990
```

[4]
VASP calculation (SCAN) on ZrIr2Ru at its PBEsol-relaxed geometry.

Computed properties:
energy relative to the lowest polymorph listed for this composition = 558 meV/atom
formation energy from the elements = -13 kJ/mol of atoms
magnetization = 13.681 μB per cell
volume = 15.8 Å³ per atom

Structure (CIF):
```
data_ZrIr2Ru
_cell_length_a 6.321
_cell_length_b 6.321
_cell_length_c 6.321
_cell_angle_alpha 90.00
_cell_angle_beta 90.00
_cell_angle_gamma 90.00
_symmetry_space_group_name_H-M 'F m -3 m'
_symmetry_Int_Tables_number 225
_symmetry_space_group_name_Hall '-F 4 2 3'
loop_
_atom_site_label
_atom_site_type_symbol
_atom_site_fract_x
_atom_site_fract_y
_atom_site_fract_z
Zr1 Zr 0.000 0.000 0.000
Ir1 Ir 0.250 0.250 0.250
Ru1 Ru 0.000 0.000 0.500
```

[5]
VASP calculation (SCAN) on SrMg3I at its PBEsol-relaxed geometry.

Computed properties:
uncorrected formation energy = 3.451 eV per formula unit
magnetization = 0.000 μB per cell
volume = 57.1 Å³ per atom

Structure (CIF):
```
data_SrMg3I
_cell_length_a 6.584
_cell_length_b 6.584
_cell_length_c 6.584
_cell_angle_alpha 90.00
_cell_angle_beta 90.00
_cell_angle_gamma 90.00
_symmetry_space_group_name_H-M 'P m -3 m'
_symmetry_Int_Tables_number 221
_symmetry_space_group_name_Hall '-P 4 2 3'
loop_
_atom_site_label
_atom_site_type_symbol
_atom_site_fract_x
_atom_site_fract_y
_atom_site_fract_z
Sr1 Sr 0.000 0.000 0.000
Mg1 Mg 0.000 0.000 0.500
I1 I 0.500 0.500 0.500
```

[6]
VASP calculation (SCAN) on Zr2CdPb at its PBEsol-relaxed geometry.

Computed properties:
formation energy from the elements = -29 kJ/mol of atoms
magnetization = 0.000 μB per cell
volume = 21.5 Å³ per atom

Structure (CIF):
```
data_Zr2CdPb
_cell_length_a 3.162
_cell_length_b 4.331
_cell_length_c 6.292
_cell_angle_alpha 90.00
_cell_angle_beta 90.12
_cell_angle_gamma 90.00
_symmetry_space_group_name_H-M 'P 1 2/m 1'
_symmetry_Int_Tables_number 10
_symmetry_space_group_name_Hall '-P 2y'
loop_
_atom_site_label
_atom_site_type_symbol
_atom_site_fract_x
_atom_site_fract_y
_atom_site_fract_z
Zr1 Zr 0.001 0.000 0.243
Cd1 Cd 0.500 0.500 0.000
Pb1 Pb 0.500 0.500 0.500
```